No. 1
Below is a relaxed structure of Dy5NiPb3, with properties calculated at the GGA-PBE level.

Cell lengths 9.1760, 9.1760, 6.7079 Å; angles 90.00, 90.00, 120.00 degrees
With the nearest neighbours (Å) after each atom.
Atoms (fractional coordinates):
Ni  0.0000  0.0000  0.5000  6 Dy 2.76
Dy  0.0000  0.2384  0.2500  2 Ni 2.76
Dy  0.6667  0.3333  0.0000  6 Pb 3.27, 2 Dy 3.35
Dy  0.6667  0.3333  0.5000  6 Pb 3.27, 2 Dy 3.35
Dy  0.2384  0.0000  0.2500  2 Ni 2.76
Pb  0.0000  0.6002  0.2500  7 Dy 3.20-3.32
Pb  0.3998  0.3998  0.2500  7 Dy 3.20-3.32
Dy  0.2384  0.2384  0.7500  2 Ni 2.76
Pb  0.6002  0.0000  0.2500  7 Dy 3.20-3.32
Ni  0.0000  0.0000  0.0000  6 Dy 2.76
Dy  0.7616  0.7616  0.2500  2 Ni 2.76
Pb  0.0000  0.3998  0.7500  7 Dy 3.20-3.32
Pb  0.6002  0.6002  0.7500  7 Dy 3.20-3.32
Dy  0.0000  0.7616  0.7500  2 Ni 2.76
Pb  0.3998  0.0000  0.7500  7 Dy 3.20-3.32
Dy  0.7616  0.0000  0.7500  2 Ni 2.76
Dy  0.3333  0.6667  0.0000  6 Pb 3.27, 2 Dy 3.35
Dy  0.3333  0.6667  0.5000  6 Pb 3.27, 2 Dy 3.35

No. 2
Below is a relaxed structure of HoAlPO, with properties calculated at the GGA-PBE level.

Cell lengths 3.9279, 4.5745, 6.6586 Å; angles 90.00, 90.00, 90.00 degrees
With the nearest neighbours (Å) after each atom.
Atoms (fractional coordinates):
O  0.5000  0.3411  0.4378  2 Al 1.96
Ho  0.5000  0.8331  0.5909  3 O 2.44-2.54
Al  0.0000  0.3417  0.4396  2 O 1.96
Al  0.0000  0.6583  0.9396  2 O 1.96
P  0.0000  0.1634  0.7858  3 Al 2.45-2.53
Ho  0.5000  0.1669  0.0909  3 O 2.44-2.54
O  0.5000  0.6589  0.9378  2 Al 1.96
P  0.0000  0.8366  0.2858  3 Al 2.45-2.53

Number 1: total magnetic moment 0.1 μB per cell, total energy -88.9 eV for the cell shown. Number 2: total magnetic moment 0.0 μB per cell, total energy -51.1 eV for the cell shown.